1.
Crystalline RbBa2Hg2 at its relaxed geometry. Source: the Alexandria database, functional PBE-GGA.

Cell: 9.843 9.843 4.539 Å, 90.00 90.00 90.00°
Space group P4/mbm (No. 127)
One atom of each set of equivalent atoms:
Rb  0.000  0.000  0.000
Ba  0.148  0.352  0.500
Hg  0.141  0.641  0.000

Computed properties:
- Polymorph energy (0 for the lowest one): 0.00 eV/f.u.
- Energy relative to the elements: -331 meV per atom

***

2.
Crystalline LaTb5Nd12 at its relaxed geometry. Source: the Alexandria database, functional PBE-GGA.

Cell: 10.959 5.169 10.969 Å, 90.00 90.00 90.00°
Space group P2/m (No. 10)
One atom of each set of equivalent atoms:
La  0.000  0.000  0.000
Tb  0.168  0.500  0.832
Tb  0.333  0.000  0.667
Tb  0.500  0.500  0.500
Nd  0.001  0.000  0.666
Nd  0.167  0.500  0.167
Nd  0.169  0.500  0.502
Nd  0.334  0.000  0.999
Nd  0.335  0.000  0.335
Nd  0.498  0.500  0.831

Computed properties:
- Energy relative to the elements: 17 meV per atom

***

no.,energy (eV per atom)
1,-1.41
2,-4.72